{
  "formula": "Co3Se4Cl2O10",
  "functional": "PBE+U",
  "state": "relaxed",
  "space_group": "C2/m, No. 12",
  "magmom_total_mub_per_cell": 9.0,
  "total_energy_ev_per_atom": -5.1867,
  "lattice_angstrom": [[3.609, -6.980, 0.000], [3.609, 6.980, 0.000], [-1.715, 0.000, 5.494]],
  "species": ["Co", "Co", "Co", "Se", "Se", "Se", "Se", "Cl", "Cl", "O", "O", "O", "O", "O", "O", "O", "O", "O", "O"],
  "frac_coords": [[0.000, 0.000, 0.000], [0.127, 0.873, 0.500], [0.873, 0.127, 0.500], [0.187, 0.511, 0.216], [0.489, 0.813, 0.784], [0.511, 0.187, 0.216], [0.813, 0.489, 0.784], [0.215, 0.215, 0.745], [0.785, 0.785, 0.255], [0.031, 0.247, 0.232], [0.033, 0.587, 0.281], [0.247, 0.031, 0.232], [0.388, 0.612, 0.500], [0.413, 0.967, 0.719], [0.587, 0.033, 0.281], [0.612, 0.388, 0.500], [0.753, 0.969, 0.768], [0.967, 0.413, 0.719], [0.969, 0.753, 0.768]]
}